The following is a PBE-GGA calculation of KTc2Mo after structural relaxation, from Alexandria.

Summary:
For the total DFT energy (no corrections), the calculation gives -104.43 eV per cell. The distance to the lowest polymorph of the same formula is 0.923 eV/atom. The energy relative to the elements is 1.6383 eV per atom. The value obtained for the total moment is 0.00 μB/f.u.

Lattice parameters (Å, degrees): 4.9904 4.9904 16.9558 90.00 90.00 90.00
With the nearest neighbours (Å) after each atom.
Space group I4_1/amd (No. 141, origin choice 2)
One atom of each set of equivalent atoms:
K (0.0000, 0.2500, 0.3750) (multiplicity 4)  8 Tc 3.50, 4 Mo 3.53
Tc (0.0000, 0.0000, 0.0000) (multiplicity 8)  2 Mo 2.46, 2 Tc 2.50
Mo (0.0000, 0.2500, 0.8750) (multiplicity 4)  4 Tc 2.46